No. 1
DFT (PBE-GGA) results for an optimized crystal structure of CoCSCl2.

abc: 4.5369 4.5369 3.9864
angles: 90.00 90.00 90.00
Last column: nearest neighbours and their distance in Å.
Fractional positions:
Co1 0.5000 0.5000 0.5000  8 Cl 3.02, 4 S 3.21
C1 0.0000 0.0000 0.0000  2 S 1.99
Cl1 0.5000 0.0000 0.0000  2 C 2.27
S1 0.0000 0.0000 0.5000  2 C 1.99
Cl2 0.0000 0.5000 0.0000  2 C 2.27

Its raw formation energy is 1.348 eV per atom. The calculation puts the total magnetic moment at 2.71 Bohr magnetons per cell. The energy above the most stable polymorph in this dataset comes out at 0.000 eV per atom. For the density, the calculation gives 3.52 g/cm³. The calculation puts the calculated volume at 16.41 Å³/atom.

No. 2
DFT (PBE-GGA) results for an optimized crystal structure of SrOsWC2.

abc: 4.2259 4.9858 4.2259
angles: 90.00 90.00 90.00
Last column: nearest neighbours and their distance in Å.
Fractional positions:
C1 0.5000 0.0000 0.0000  2 W 2.11
Sr1 0.5000 0.5000 0.5000  4 Os 2.99, 8 C 3.27
C2 0.0000 0.0000 0.5000  2 W 2.11
W1 0.0000 0.0000 0.0000  4 C 2.11
Os1 0.0000 0.5000 0.0000  2 W 2.49

The calculation puts the total magnetic moment at 0.70 Bohr magnetons per cell. For the density, the calculation gives 9.06 g/cm³. The calculation puts the calculated volume at 17.81 Å³/atom. The calculation puts the energy of formation from the pure elements at 1413 meV per atom.

No. 3
DFT (PBE-GGA) results for an optimized crystal structure of CsBa2NaAu.

abc: 6.5061 6.5061 6.4051
angles: 90.00 90.00 90.00
Last column: nearest neighbours and their distance in Å.
Fractional positions:
Na1 0.0000 0.0000 0.5000  2 Au 3.20
Ba1 0.5000 0.0000 0.0000  2 Au 3.25
Cs1 0.5000 0.5000 0.5000  8 Ba 4.56, 4 Na 4.60
Ba2 0.0000 0.5000 0.0000  2 Au 3.25
Au1 0.0000 0.0000 0.0000  2 Na 3.20, 4 Ba 3.25

The calculation puts the total magnetic moment at 0.00 Bohr magnetons per cell. The energy above the most stable polymorph in this dataset comes out at 0.000 eV per atom. For the density, the calculation gives 3.84 g/cm³. The calculation puts the calculated volume at 54.22 Å³/atom. The calculation puts the energy of formation from the pure elements at -191 meV per atom.

No. 4
DFT (PBE-GGA) results for an optimized crystal structure of K3La.

abc: 8.6861 8.6861 7.1749
angles: 90.00 90.00 120.00
Last column: nearest neighbours and their distance in Å.
Fractional positions:
K1 0.6601 0.8300 0.7500  8 K 4.26-4.43, 4 La 4.34-4.35
La1 0.6667 0.3333 0.7500  12 K 4.34-4.35
La2 0.3333 0.6667 0.2500  12 K 4.34-4.35
K2 0.1700 0.3399 0.7500  8 K 4.26-4.43, 4 La 4.34-4.35
K3 0.8300 0.1700 0.2500  8 K 4.26-4.43, 4 La 4.34-4.35
K4 0.8300 0.6601 0.2500  8 K 4.26-4.43, 4 La 4.34-4.35
K5 0.1700 0.8300 0.7500  8 K 4.26-4.43, 4 La 4.34-4.35
K6 0.3399 0.1700 0.2500  8 K 4.26-4.43, 4 La 4.34-4.35

The calculation puts the total magnetic moment at 3.43 Bohr magnetons per cell. For the density, the calculation gives 1.81 g/cm³. The calculation puts the calculated volume at 58.60 Å³/atom. The calculation puts the energy of formation from the pure elements at 511 meV per atom.

No. 5
DFT (PBE-GGA) results for an optimized crystal structure of ScTi2Ir2.

abc: 7.5375 7.5375 2.9847
angles: 90.00 90.00 90.00
Last column: nearest neighbours and their distance in Å.
Fractional positions:
Sc1 0.5000 0.5000 0.0000  4 Ir 2.91, 2 Sc 2.98, 8 Ti 3.22
Ir1 0.6401 0.1401 0.0000  6 Ti 2.64-2.68, 2 Sc 2.91
Ti1 0.1551 0.6551 0.5000  6 Ir 2.64-2.68
Ti2 0.3449 0.1551 0.5000  6 Ir 2.64-2.68
Ti3 0.6551 0.8449 0.5000  6 Ir 2.64-2.68
Sc2 0.0000 0.0000 0.0000  4 Ir 2.91, 2 Sc 2.98, 8 Ti 3.22
Ir2 0.8599 0.6401 0.0000  6 Ti 2.64-2.68, 2 Sc 2.91
Ir3 0.1401 0.3599 0.0000  6 Ti 2.64-2.68, 2 Sc 2.91
Ir4 0.3599 0.8599 0.0000  6 Ti 2.64-2.68, 2 Sc 2.91
Ti4 0.8449 0.3449 0.5000  6 Ir 2.64-2.68

The calculation puts the total magnetic moment at 0.00 Bohr magnetons per cell. The energy above the most stable polymorph in this dataset comes out at 0.067 eV per atom. For the density, the calculation gives 10.28 g/cm³. The calculation puts the calculated volume at 16.96 Å³/atom. The calculation puts the energy of formation from the pure elements at -688 meV per atom.

No. 6
DFT (PBE-GGA) results for an optimized crystal structure of LaPSe2.

abc: 3.7496 4.1115 6.3865
angles: 72.91 90.00 90.00
Last column: nearest neighbours and their distance in Å.
Fractional positions:
Se1 0.0000 0.8601 0.7614  2 P 2.59
Se2 0.0000 0.1399 0.2386  2 P 2.59
P1 0.5000 0.5000 0.0000  4 Se 2.59
La1 0.5000 0.5000 0.5000  8 Se 3.15-3.26, 2 P 3.19

Its raw formation energy is -0.910 eV per atom. The calculation puts the total magnetic moment at 0.00 Bohr magnetons per cell. For the density, the calculation gives 5.78 g/cm³. The calculation puts the calculated volume at 23.53 Å³/atom.

No. 7
DFT (PBE-GGA) results for an optimized crystal structure of PmSm2Ho2.

abc: 6.3205 6.3205 9.3451
angles: 107.87 108.55 94.35
Last column: nearest neighbours and their distance in Å.
Fractional positions:
Ho1 0.1191 0.7496 0.9544  4 Sm 3.30-3.58, 2 Ho 3.56-3.59, 2 Pm 3.57-3.59
Pm1 0.6805 0.9305 0.2500  6 Sm 3.46-3.51, 4 Ho 3.57-3.59
Ho2 0.7952 0.6647 0.5456  4 Sm 3.30-3.58, 2 Ho 3.56-3.59, 2 Pm 3.57-3.59
Pm2 0.3195 0.0695 0.7500  6 Sm 3.46-3.51, 4 Ho 3.57-3.59
Sm1 0.2099 0.7811 0.3405  4 Ho 3.30-3.58, 1 Sm 3.35, 3 Pm 3.46-3.51
Sm2 0.5594 0.6306 0.8405  4 Ho 3.30-3.58, 1 Sm 3.35, 3 Pm 3.46-3.51
Sm3 0.4406 0.3694 0.1595  4 Ho 3.30-3.58, 1 Sm 3.35, 3 Pm 3.46-3.51
Ho3 0.2048 0.3353 0.4544  4 Sm 3.30-3.58, 2 Ho 3.56-3.59, 2 Pm 3.57-3.59
Sm4 0.7901 0.2189 0.6595  4 Ho 3.30-3.58, 1 Sm 3.35, 3 Pm 3.46-3.51
Ho4 0.8809 0.2504 0.0456  4 Sm 3.30-3.58, 2 Ho 3.56-3.59, 2 Pm 3.57-3.59

The calculation puts the total magnetic moment at 0.00 Bohr magnetons per cell. The energy above the most stable polymorph in this dataset comes out at 0.000 eV per atom. For the density, the calculation gives 7.79 g/cm³. The calculation puts the calculated volume at 33.06 Å³/atom. The calculation puts the energy of formation from the pure elements at 126 meV per atom.

No. 8
DFT (PBE-GGA) results for an optimized crystal structure of MgTaIr2.

abc: 2.8632 4.1940 5.3634
angles: 90.00 90.00 90.00
Last column: nearest neighbours and their distance in Å.
Fractional positions:
Ir1 0.0000 0.0000 0.9692  2 Mg 2.66-2.70, 4 Ta 2.75, 2 Ir 2.86
Ta1 0.5000 0.5000 0.7702  6 Ir 2.55-2.81
Mg1 0.0000 0.0000 0.4657  6 Ir 2.66-2.70, 2 Mg 2.86
Ir2 0.5000 0.5000 0.2948  2 Ta 2.55-2.81, 4 Mg 2.70

The calculation puts the total magnetic moment at 0.00 Bohr magnetons per cell. The energy above the most stable polymorph in this dataset comes out at 0.271 eV per atom. For the density, the calculation gives 15.20 g/cm³. The calculation puts the calculated volume at 16.10 Å³/atom. The calculation puts the energy of formation from the pure elements at -334 meV per atom.

No. 9
DFT (PBE-GGA) results for an optimized crystal structure of YP5O14.

abc: 8.8226 9.1800 12.8396
angles: 90.00 90.00 90.00
Last column: nearest neighbours and their distance in Å.
Fractional positions:
O1 0.1717 0.1068 0.8716  1 P 1.49
O2 0.8374 0.3435 0.0273  2 P 1.59-1.63
O3 0.9757 0.5691 0.8465  2 P 1.57-1.64
O4 0.0099 0.8475 0.8654  1 P 1.48
P1 0.7431 0.2722 0.5692  4 O 1.49-1.63
O5 0.3416 0.3394 0.6192  1 P 1.49
O6 0.8848 0.6814 0.0047  2 P 1.58-1.63
O7 0.4901 0.3475 0.3654  1 P 1.48
P2 0.2569 0.7278 0.0692  4 O 1.49-1.63
P3 0.4275 0.9969 0.2500  4 O 1.48-1.64
O8 0.1152 0.3186 0.9953  2 P 1.58-1.63
P4 0.2569 0.7278 0.4308  4 O 1.49-1.63
P5 0.4910 0.2046 0.4181  4 O 1.48-1.59
P6 0.4910 0.2046 0.0819  4 O 1.48-1.59
O9 0.5243 0.0691 0.3465  2 P 1.57-1.64
P7 0.9910 0.2954 0.0819  4 O 1.48-1.59
O10 0.6152 0.1814 0.9953  2 P 1.58-1.63
P8 0.0090 0.7046 0.5819  4 O 1.48-1.59
O11 0.6626 0.8435 0.5273  2 P 1.59-1.63
O12 0.6152 0.1814 0.5047  2 P 1.58-1.63
P9 0.5090 0.7954 0.9181  4 O 1.48-1.59
P10 0.9910 0.2954 0.4181  4 O 1.48-1.59
Y1 0.4797 0.4436 0.7500  7 O 2.28-2.45
O13 0.8848 0.6814 0.4953  2 P 1.58-1.63
P11 0.5090 0.7954 0.5819  4 O 1.48-1.59
O14 0.4757 0.9309 0.6535  2 P 1.57-1.64
O15 0.5099 0.6525 0.8654  1 P 1.48
O16 0.8416 0.1606 0.8808  1 P 1.49
O17 0.1626 0.6565 0.9727  2 P 1.59-1.63
P12 0.2431 0.2278 0.5692  4 O 1.49-1.63
O18 0.1626 0.6565 0.5273  2 P 1.59-1.63
O19 0.6717 0.3932 0.6284  1 P 1.49
P13 0.2431 0.2278 0.9308  4 O 1.49-1.63
O20 0.3283 0.6068 0.1284  1 P 1.49
P14 0.7431 0.2722 0.9308  4 O 1.49-1.63
P15 0.7569 0.7722 0.0692  4 O 1.49-1.63
P16 0.7569 0.7722 0.4308  4 O 1.49-1.63
O21 0.4757 0.9309 0.8465  2 P 1.57-1.64
O22 0.3416 0.3394 0.8808  1 P 1.49
O23 0.9757 0.5691 0.6535  2 P 1.57-1.64
O24 0.1584 0.8394 0.3808  1 P 1.49
O25 0.6626 0.8435 0.9727  2 P 1.59-1.63
O26 0.8283 0.8932 0.1284  1 P 1.49
O27 0.3283 0.6068 0.3716  1 P 1.49
O28 0.5099 0.6525 0.6346  1 P 1.48
O29 0.2295 0.5584 0.7500  1 P 1.50
P17 0.0725 0.4969 0.7500  4 O 1.48-1.64
O30 0.1717 0.1068 0.6284  1 P 1.49
O31 0.8374 0.3435 0.4727  2 P 1.59-1.63
Y2 0.9797 0.0564 0.7500  7 O 2.28-2.45
O32 0.3374 0.1565 0.4727  2 P 1.59-1.63
P18 0.5725 0.0031 0.7500  4 O 1.48-1.64
P19 0.0090 0.7046 0.9181  4 O 1.48-1.59
O33 0.0373 0.3392 0.7500  1 P 1.48
O34 0.6717 0.3932 0.8716  1 P 1.49
O35 0.7705 0.4416 0.2500  1 P 1.50
O36 0.4627 0.8392 0.2500  1 P 1.48
O37 0.4901 0.3475 0.1346  1 P 1.48
O38 0.6584 0.6606 0.3808  1 P 1.49
Y3 0.5203 0.5564 0.2500  7 O 2.28-2.45
O39 0.9901 0.1525 0.1346  1 P 1.48
O40 0.8416 0.1606 0.6192  1 P 1.49
O41 0.5243 0.0691 0.1535  2 P 1.57-1.64
Y4 0.0203 0.9436 0.2500  7 O 2.28-2.45
O42 0.9627 0.6608 0.2500  1 P 1.48
O43 0.3848 0.8186 0.4953  2 P 1.58-1.63
O44 0.0243 0.4309 0.1535  2 P 1.57-1.64
O45 0.8283 0.8932 0.3716  1 P 1.49
O46 0.2705 0.0584 0.2500  1 P 1.50
O47 0.9901 0.1525 0.3654  1 P 1.48
O48 0.1584 0.8394 0.1192  1 P 1.49
O49 0.1152 0.3186 0.5047  2 P 1.58-1.63
O50 0.7295 0.9416 0.7500  1 P 1.50
O51 0.0243 0.4309 0.3465  2 P 1.57-1.64
O52 0.3374 0.1565 0.0273  2 P 1.59-1.63
O53 0.6584 0.6606 0.1192  1 P 1.49
O54 0.3848 0.8186 0.0047  2 P 1.58-1.63
O55 0.0099 0.8475 0.6346  1 P 1.48
P20 0.9275 0.5031 0.2500  4 O 1.48-1.64
O56 0.5373 0.1608 0.7500  1 P 1.48

Its raw formation energy is -2.329 eV per atom. The calculation puts the total magnetic moment at 0.01 Bohr magnetons per cell. The energy above the most stable polymorph in this dataset comes out at 0.008 eV per atom. For the density, the calculation gives 2.99 g/cm³. The calculation puts the calculated volume at 13.00 Å³/atom.

No. 10
DFT (PBE-GGA) results for an optimized crystal structure of Li2MoOs.

abc: 4.3863 2.5610 5.3448
angles: 83.89 90.00 90.00
Last column: nearest neighbours and their distance in Å.
Fractional positions:
Li1 0.0000 0.0245 0.0144  4 Li 2.53-2.56, 1 Mo 2.72, 2 Os 2.81
Li2 0.5000 0.2086 0.2250  4 Li 2.53-2.56, 1 Os 2.80
Mo1 0.0000 0.5117 0.5358  2 Os 2.52, 2 Mo 2.56, 1 Li 2.72
Os1 0.5000 0.7553 0.7248  2 Mo 2.52, 2 Os 2.56, 3 Li 2.80-2.81

The calculation puts the total magnetic moment at 0.00 Bohr magnetons per cell. The energy above the most stable polymorph in this dataset comes out at 0.076 eV per atom. For the density, the calculation gives 8.35 g/cm³. The calculation puts the calculated volume at 14.92 Å³/atom. The calculation puts the energy of formation from the pure elements at 224 meV per atom.

No. 11
DFT (PBE-GGA) results for an optimized crystal structure of Sc6As2PSe3.

abc: 3.8435 7.7460 8.6625
angles: 103.52 102.82 90.00
Last column: nearest neighbours and their distance in Å.
Fractional positions:
Se1 0.1679 0.8334 0.3358  6 Sc 2.77-2.85
Se2 0.8321 0.1666 0.6642  6 Sc 2.77-2.85
Sc1 0.6683 0.5751 0.3367  3 As 2.68-2.70, 3 Se 2.76-2.78
Sc2 0.3317 0.4249 0.6633  3 As 2.68-2.70, 3 Se 2.76-2.78
As1 0.1669 0.3326 0.3337  6 Sc 2.68-2.70
As2 0.8331 0.6674 0.6663  6 Sc 2.68-2.70
Se3 0.5000 0.5000 0.0000  6 Sc 2.76-2.84
Sc3 0.3417 0.9144 0.6833  1 P 2.60, 2 As 2.69, 3 Se 2.77-2.85
Sc4 0.6583 0.0856 0.3167  1 P 2.60, 2 As 2.69, 3 Se 2.77-2.85
P1 0.5000 0.0000 0.0000  6 Sc 2.60-2.62
Sc5 0.0021 0.2315 0.0043  2 P 2.62, 1 As 2.70, 3 Se 2.79-2.84
Sc6 0.9979 0.7685 0.9957  2 P 2.62, 1 As 2.70, 3 Se 2.79-2.84

Its raw formation energy is -1.573 eV per atom. The calculation puts the total magnetic moment at 0.00 Bohr magnetons per cell. For the density, the calculation gives 4.68 g/cm³. The calculation puts the calculated volume at 20.34 Å³/atom.

No. 12
DFT (PBE-GGA) results for an optimized crystal structure of Sr3Al3Zn8.

abc: 4.4584 8.5779 8.5779
angles: 69.57 74.94 74.94
Last column: nearest neighbours and their distance in Å.
Fractional positions:
Al1 0.5000 0.0000 0.0000  4 Zn 2.75, 4 Al 2.96
Al2 0.0000 0.1997 0.8003  6 Zn 2.67-2.84, 2 Al 2.96
Zn1 0.6306 0.0871 0.6518  3 Zn 2.65-2.85, 3 Al 2.75-2.84
Zn2 0.6306 0.6518 0.0871  3 Zn 2.65-2.85, 3 Al 2.75-2.84
Zn3 0.1632 0.4803 0.1933  4 Zn 2.65-2.85, 1 Al 2.67
Zn4 0.3694 0.3482 0.9129  3 Zn 2.65-2.85, 3 Al 2.75-2.84
Zn5 0.3694 0.9129 0.3482  3 Zn 2.65-2.85, 3 Al 2.75-2.84
Sr1 0.7998 0.2002 0.2002  12 Zn 3.21-3.57, 4 Al 3.31-3.48
Sr2 0.5000 0.5000 0.5000  12 Zn 3.27-3.42
Zn6 0.1632 0.1933 0.4803  4 Zn 2.65-2.85, 1 Al 2.67
Al3 0.0000 0.8003 0.1997  6 Zn 2.67-2.84, 2 Al 2.96
Zn7 0.8368 0.8067 0.5197  4 Zn 2.65-2.85, 1 Al 2.67
Sr3 0.2002 0.7998 0.7998  12 Zn 3.21-3.57, 4 Al 3.31-3.48
Zn8 0.8368 0.5197 0.8067  4 Zn 2.65-2.85, 1 Al 2.67

The calculation puts the total magnetic moment at 0.00 Bohr magnetons per cell. For the density, the calculation gives 4.94 g/cm³. The calculation puts the calculated volume at 20.83 Å³/atom. The calculation puts the energy of formation from the pure elements at -220 meV per atom.